GGA-PBE TiVReIr2, relaxed; energy of formation from the pure elements = 976 meV per atom; calculated volume = 90 Å³/f.u.; N(E_F) = 5.533 states/eV/f.u.; SG = P4/mmm (123); calculated total energy = -8.4610 eV per atom
1.0
4.4848 0.0000 0.0000
0.0000 4.4848 0.0000
0.0000 0.0000 4.4715
Ti V Re Ir
1 1 1 2
Direct
0.0000 0.0000 0.0000
0.5000 0.5000 0.5000
0.5000 0.5000 0.0000
0.0000 0.5000 0.5000
0.5000 0.0000 0.5000

***

GGA-PBE PaAl2, relaxed; energy of formation from the pure elements = -309 meV per atom; calculated volume = 59 Å³/f.u.; N(E_F) = 4.484 states/eV/f.u.; SG = Fd-3m (227); calculated total energy = -5.9691 eV per atom
1.0
0.0000 3.8901 3.8901
3.8901 0.0000 3.8901
3.8901 3.8901 0.0000
Pa Al
2 4
Direct
0.1250 0.1250 0.1250
0.8750 0.8750 0.8750
0.0000 0.5000 0.5000
0.5000 0.0000 0.5000
0.5000 0.5000 0.0000
0.5000 0.5000 0.5000

***

GGA-PBE RbBiSe2, relaxed; calculated volume = 150 Å³/f.u.; ΔE_f (raw) = -703 meV/atom; SG = Pnma (62); calculated total energy = -3.6569 eV per atom
1.0
8.3532 0.0000 0.0000
0.0000 5.4097 0.0000
0.0000 0.0000 13.2646
Rb Bi Se
4 4 8
Direct
0.1394 0.2500 0.1502
0.3606 0.7500 0.6502
0.6394 0.2500 0.3498
0.8606 0.7500 0.8498
0.0723 0.7500 0.3907
0.4277 0.2500 0.8907
0.5723 0.7500 0.1093
0.9277 0.2500 0.6093
0.1105 0.2500 0.7760
0.1717 0.2500 0.4567
0.3283 0.7500 0.9567
0.3895 0.7500 0.2760
0.6105 0.2500 0.7240
0.6717 0.2500 0.0433
0.8283 0.7500 0.5433
0.8895 0.7500 0.2240

***

GGA-PBE Hf3FeCo2, relaxed; energy of formation from the pure elements = -371 meV per atom; calculated volume = 94 Å³/f.u.; N(E_F) = 4.543 states/eV/f.u.; SG = P4/mmm (123); calculated total energy = -9.1267 eV per atom
1.0
3.1536 0.0000 0.0000
0.0000 3.1536 0.0000
0.0000 0.0000 9.4050
Hf Fe Co
3 1 2
Direct
0.0000 0.0000 0.0000
0.0000 0.0000 0.3347
0.0000 0.0000 0.6653
0.5000 0.5000 0.5000
0.5000 0.5000 0.1645
0.5000 0.5000 0.8356

***

GGA-PBE B2C, relaxed; energy of formation from the pure elements = 246 meV per atom; calculated volume = 29 Å³/f.u.; N(E_F) = 0.474 states/eV/f.u.; SG = Pnma (62); calculated total energy = -7.2806 eV per atom
1.0
9.7158 0.0000 0.0000
0.0000 2.6868 0.0000
0.0000 0.0000 4.4850
B C
8 4
Direct
0.0533 0.2500 0.0340
0.2391 0.7500 0.2898
0.2609 0.2500 0.7898
0.4467 0.7500 0.5340
0.5533 0.2500 0.4660
0.7391 0.7500 0.2102
0.7609 0.2500 0.7102
0.9467 0.7500 0.9660
0.2072 0.2500 0.1288
0.2928 0.7500 0.6288
0.7072 0.2500 0.3712
0.7928 0.7500 0.8712

***

GGA-PBE AlTlW, relaxed; energy of formation from the pure elements = 574 meV per atom; calculated volume = 56 Å³/f.u.; N(E_F) = 2.138 states/eV/f.u.; SG = P3m1 (156); calculated total energy = -5.7797 eV per atom
1.0
3.0284 0.0000 0.0000
-1.5142 2.6227 0.0000
0.0000 0.0000 7.1094
Al Tl W
1 1 1
Direct
0.0000 0.0000 0.0000
0.6667 0.3333 0.3568
0.3333 0.6667 0.7082

***

Question: Among the records above, which one has the lowest calculated volume?
Answer: B2C

***

Question: Which formula does entry 1 have?
Answer: TiVReIr2

***

Question: calculated total energy of number 5 (B2C)?
Answer: -7.2806 eV per atom